(1)
First-principles (PBE-GGA) data for Nb3MoOs after structural relaxation, as listed in the Alexandria database.

Formation energy: 77 kJ/mol of formula units
Energy above the most stable polymorph in this dataset: 0 meV/atom
Space group: C2/c
Final energy: -10.294 eV per atom
Fermi-level density of states: 0.9840 states/eV/atom
M_tot: 0.0000 μB per atom
Theoretical density: 10.72 g/cm3

Unit cell a=6.419 b=7.814 c=7.814 alpha=63.33 beta=92.05 gamma=92.05
Sites, in units of the cell vectors:
Os 0.250 0.932 0.068
Os 0.250 0.587 0.413
Os 0.750 0.413 0.587
Os 0.750 0.068 0.932
Mo 0.318 0.567 0.008
Mo 0.682 0.433 0.992
Mo 0.818 0.008 0.567
Mo 0.182 0.992 0.433
Nb 0.083 0.185 0.695
Nb 0.583 0.695 0.185
Nb 0.417 0.305 0.815
Nb 0.555 0.059 0.251
Nb 0.937 0.397 0.301
Nb 0.055 0.251 0.059
Nb 0.445 0.941 0.749
Nb 0.563 0.699 0.603
Nb 0.437 0.301 0.397
Nb 0.917 0.815 0.305
Nb 0.945 0.749 0.941
Nb 0.063 0.603 0.699


(2)
First-principles (PBE-GGA) data for LiPt2Br after structural relaxation, as listed in the Alexandria database.

Energy above the most stable polymorph in this dataset: 228 meV/atom
Space group: P4mm
Final energy: -3.919 eV per atom
Fermi-level density of states: 1.2563 states/eV/atom
M_tot: 0.1289 μB per atom
Formation energy without anion corrections: -2 meV per atom
Theoretical density: 10.60 g/cm3

Unit cell a=2.834 b=2.834 c=9.297 alpha=90.00 beta=90.00 gamma=90.00
Each line ends with the local moment (μB).
Sites, in units of the cell vectors:
Li 0.500 0.500 0.771  0.00
Pt 0.500 0.500 0.185  0.30
Pt 0.000 0.000 0.978  0.22
Br 0.000 0.000 0.566  0.00


(3)
First-principles (PBE-GGA) data for CuTe2HI after structural relaxation, as listed in the Alexandria database.

Energy above the most stable polymorph in this dataset: 295 meV/atom
Space group: P4/mmm
Final energy: -2.287 eV per atom
Fermi-level density of states: 1.2591 states/eV/atom
M_tot: 0.2210 μB per atom
Theoretical density: 4.96 g/cm3

Unit cell a=5.159 b=5.159 c=5.623 alpha=90.00 beta=90.00 gamma=90.00
Each line ends with the local moment (μB).
Sites, in units of the cell vectors:
H 0.500 0.500 0.500  0.37
Cu 0.000 0.000 0.000  0.01
I 0.000 0.000 0.500  0.04
Te 0.500 0.000 0.000  0.03
Te 0.000 0.500 0.000  0.03


(4)
First-principles (PBE-GGA) data for SiHg3Pt after structural relaxation, as listed in the Alexandria database.

Energy above the most stable polymorph in this dataset: 0 meV/atom
Space group: Pm-3m
Final energy: -1.863 eV per atom
Fermi-level density of states: 0.7268 states/eV/atom
M_tot: 0.0000 μB per atom
Formation energy without anion corrections: 611 meV per atom
Theoretical density: 9.68 g/cm3

Unit cell a=5.211 b=5.211 c=5.211 alpha=90.00 beta=90.00 gamma=90.00
Sites, in units of the cell vectors:
Hg 0.000 0.500 0.000
Hg 0.000 0.000 0.500
Hg 0.500 0.000 0.000
Pt 0.000 0.000 0.000
Si 0.500 0.500 0.500


(5)
First-principles (PBE-GGA) data for TmAlNi4 after structural relaxation, as listed in the Alexandria database.

Formation energy: -279 kJ/mol of formula units
Energy above the most stable polymorph in this dataset: 54 meV/atom
Space group: F-43m
Final energy: -5.706 eV per atom
Fermi-level density of states: 0.4101 states/eV/atom
M_tot: 0.0000 μB per atom
Theoretical density: 8.78 g/cm3

Unit cell a=4.866 b=4.866 c=4.866 alpha=60.00 beta=60.00 gamma=60.00
Sites, in units of the cell vectors:
Al 0.000 0.000 0.000
Ni 0.626 0.626 0.121
Ni 0.626 0.121 0.626
Ni 0.121 0.626 0.626
Ni 0.626 0.626 0.626
Tm 0.250 0.250 0.250


(6)
First-principles (PBE-GGA) data for USbO2 after structural relaxation, as listed in the Alexandria database.

Space group: R-3m
Final energy: -7.470 eV per atom
Fermi-level density of states: 1.8666 states/eV/atom
M_tot: 0.7014 μB per atom
Formation energy without anion corrections: -1138 meV per atom
Theoretical density: 8.14 g/cm3

Unit cell a=4.201 b=4.201 c=5.763 alpha=68.63 beta=68.63 gamma=60.00
Each line ends with the local moment (μB).
Sites, in units of the cell vectors:
Sb 0.500 0.500 0.500  0.04
O 0.872 0.872 0.384  -0.04
O 0.128 0.128 0.616  -0.04
U 0.000 0.000 0.000  2.22


(7)
First-principles (PBE-GGA) data for PmSb2Pd after structural relaxation, as listed in the Alexandria database.

Energy above the most stable polymorph in this dataset: 381 meV/atom
Space group: Fm-3m
Final energy: -4.987 eV per atom
Fermi-level density of states: 1.2902 states/eV/atom
M_tot: 0.0001 μB per atom
Formation energy without anion corrections: -440 meV per atom
Theoretical density: 8.48 g/cm3

Unit cell a=5.156 b=5.156 c=5.156 alpha=60.00 beta=60.00 gamma=60.00
Sites, in units of the cell vectors:
Sb 0.750 0.750 0.750
Sb 0.250 0.250 0.250
Pd 0.000 0.000 0.000
Pm 0.500 0.500 0.500


(8)
First-principles (PBE-GGA) data for CeAl2Fe after structural relaxation, as listed in the Alexandria database.

Formation energy: -122 kJ/mol of formula units
Space group: P4/mmm
Final energy: -5.787 eV per atom
Fermi-level density of states: 1.2277 states/eV/atom
M_tot: 0.0467 μB per atom
Theoretical density: 6.26 g/cm3

Unit cell a=2.965 b=2.965 c=7.539 alpha=90.00 beta=90.00 gamma=90.00
Each line ends with the local moment (μB).
Sites, in units of the cell vectors:
Al 0.000 0.000 0.823  0.00
Al 0.000 0.000 0.177  0.00
Fe 0.500 0.500 0.000  0.04
Ce 0.500 0.500 0.500  0.13


(9)
First-principles (PBE-GGA) data for Li2MgSnO4 after structural relaxation, as listed in the Alexandria database.

Space group: P2/m
Final energy: -5.717 eV per atom
Fermi-level density of states: 0.0000 states/eV/atom
M_tot: 0.0000 μB per atom
Formation energy without anion corrections: -2060 meV per atom
Theoretical density: 4.48 g/cm3

Unit cell a=3.112 b=5.250 c=5.293 alpha=71.19 beta=90.00 gamma=90.00
Sites, in units of the cell vectors:
Li 0.500 0.000 0.500
Li 0.000 0.000 0.000
O 0.500 0.737 0.260
O 0.500 0.263 0.740
O 0.000 0.274 0.247
O 0.000 0.726 0.753
Mg 0.500 0.500 0.000
Sn 0.000 0.500 0.500


(10)
First-principles (PBE-GGA) data for Sr3InO after structural relaxation, as listed in the Alexandria database.

Space group: P6_3/mmc
Final energy: -3.591 eV per atom
Fermi-level density of states: 0.4715 states/eV/atom
M_tot: 0.0000 μB per atom
Formation energy without anion corrections: -1042 meV per atom
Theoretical density: 3.91 g/cm3

Unit cell a=4.349 b=4.349 c=20.392 alpha=90.00 beta=90.00 gamma=120.00
Sites, in units of the cell vectors:
Sr 0.000 0.000 0.250
Sr 0.667 0.333 0.115
Sr 0.333 0.667 0.615
Sr 0.667 0.333 0.385
Sr 0.000 0.000 0.750
Sr 0.333 0.667 0.885
In 0.000 0.000 0.000
In 0.000 0.000 0.500
O 0.333 0.667 0.750
O 0.667 0.333 0.250


(11)
First-principles (PBE-GGA) data for ReNiBP2 after structural relaxation, as listed in the Alexandria database.

Formation energy: -62 kJ/mol of formula units
Energy above the most stable polymorph in this dataset: 7 meV/atom
Space group: Pm
Final energy: -7.273 eV per atom
Fermi-level density of states: 0.2078 states/eV/atom
M_tot: 0.0000 μB per atom
Theoretical density: 8.18 g/cm3

Unit cell a=4.314 b=3.039 c=5.004 alpha=90.00 beta=100.51 gamma=90.00
Sites, in units of the cell vectors:
B 0.806 0.000 0.558
Ni 0.399 0.000 0.280
Re 0.034 0.500 0.868
P 0.879 0.000 0.173
P 0.497 0.500 0.633


(12)
First-principles (PBE-GGA) data for Ba2Li5Cd after structural relaxation, as listed in the Alexandria database.

Formation energy: 7 kJ/mol of formula units
Space group: I4mm
Final energy: -1.782 eV per atom
Fermi-level density of states: 0.7838 states/eV/atom
M_tot: 0.0000 μB per atom
Theoretical density: 2.54 g/cm3

Unit cell a=6.531 b=6.531 c=7.951 alpha=65.73 beta=65.73 gamma=89.99
Sites, in units of the cell vectors:
Ba 0.713 0.213 0.574
Ba 0.213 0.713 0.574
Li 0.212 0.212 0.066
Li 0.722 0.212 0.067
Li 0.330 0.330 0.340
Li 0.722 0.722 0.067
Li 0.212 0.722 0.067
Cd 0.101 0.101 0.799